NaHfPb2F (PBE, optimized geometry); DOS at the Fermi energy = 2.509 states/eV/f.u.; energy relative to the elements, uncorrected = -0.747 eV/atom; M_tot = 0.00 Bohr magnetons per cell; SG = P4/mmm (123)
1.0
5.9336 0.0000 0.0000
0.0000 5.9336 0.0000
0.0000 0.0000 4.0534
Na Hf Pb F
1 1 2 1
direct
0.0000 0.0000 0.0000 Na
0.5000 0.5000 0.5000 Hf
0.0000 0.5000 0.5000 Pb
0.5000 0.0000 0.5000 Pb
0.5000 0.5000 0.0000 F